This record from the Alexandria database describes Pr3Re2O10 after structural relaxation. The functional is PBEsol.

a = 7.7745 Å, b = 7.7331 Å, c = 7.0836 Å
α = 90.00°, β = 114.95°, γ = 90.00°
Space group C2/m (No. 12)
One atom of each set of equivalent atoms:
Pr 0.0000 0.0000 0.0000
Pr 0.0000 0.2558 0.5000
Re 0.1346 0.5000 0.1768
O 0.0913 0.0000 0.7167
O 0.1345 0.2595 0.2151
O 0.1506 0.5000 0.9049
O 0.1722 0.5000 0.4736

## Properties
The density of states at the Fermi level comes out at 10.4 states/eV/cell. The spin magnetization comes out at 0.6 μB per cell.


This record from the Alexandria database describes Pr4Re6O19 after structural relaxation. The functional is PBEsol.

a = 8.9771 Å, b = 8.9771 Å, c = 8.9771 Å
α = 90.00°, β = 90.00°, γ = 90.00°
Space group I23 (No. 197)
One atom of each set of equivalent atoms:
Pr 0.1572 0.1572 0.1572
Re 0.0000 0.1334 0.5000
O 0.0000 0.0000 0.0000
O 0.0000 0.0000 0.3197
O 0.0212 0.2825 0.6612

## Properties
The density of states at the Fermi level comes out at 5.7 states/eV/cell. The spin magnetization comes out at 0.0 μB per cell.


This record from the Alexandria database describes Pr3Re2O9 after structural relaxation. The functional is PBEsol.

a = 5.6060 Å, b = 6.7847 Å, c = 11.0265 Å
α = 77.14°, β = 75.44°, γ = 68.93°
Space group P-1 (No. 2)
One atom of each set of equivalent atoms:
Pr 0.0012 0.2259 0.2704
Pr 0.2257 0.1600 0.8836
Pr 0.2843 0.5931 0.3783
Re 0.3553 0.1240 0.5719
Re 0.4887 0.6120 0.9077
O 0.0633 0.1141 0.7133
O 0.1068 0.2508 0.4624
O 0.1391 0.8115 0.9364
O 0.1750 0.5128 0.1904
O 0.3001 0.4212 0.5907
O 0.3579 0.4741 0.8162
O 0.3815 0.8149 0.5828
O 0.3881 0.1672 0.0741
O 0.4077 0.9374 0.3143

## Properties
The density of states at the Fermi level comes out at 4.6 states/eV/cell. The spin magnetization comes out at 0.0 μB per cell.


This record from the Alexandria database describes Pr3ReO8 after structural relaxation. The functional is PBEsol.

a = 7.4374 Å, b = 6.1822 Å, c = 14.8964 Å
α = 90.00°, β = 110.43°, γ = 90.00°
Space group P2_1/c (No. 14)
One atom of each set of equivalent atoms:
Pr 0.0981 0.2391 0.2006
Pr 0.1624 0.2013 0.4471
Pr 0.3976 0.6856 0.3345
Re 0.3205 0.7457 0.0912
O 0.0951 0.6989 0.9830
O 0.1447 0.0300 0.8394
O 0.1703 0.6560 0.1685
O 0.1840 0.5298 0.8267
O 0.2524 0.0413 0.0953
O 0.3763 0.0470 0.5905
O 0.4726 0.2038 0.7907
O 0.4755 0.6986 0.5219

## Properties
The density of states at the Fermi level comes out at 0.0 states/eV/cell. The spin magnetization comes out at 0.0 μB per cell.


This record from the Alexandria database describes PrRe2O8 after structural relaxation. The functional is PBEsol.

a = 6.3229 Å, b = 6.3229 Å, c = 6.2125 Å
α = 90.00°, β = 90.00°, γ = 120.00°
Space group P-3m1 (No. 164)
One atom of each set of equivalent atoms:
Pr 0.0000 0.0000 0.0000
Re 0.3333 0.6667 0.3017
O 0.1814 0.3628 0.2037
O 0.3333 0.6667 0.5804

## Properties
The density of states at the Fermi level comes out at 5.4 states/eV/cell. The spin magnetization comes out at 0.0 μB per cell.


This record from the Alexandria database describes PrRhO3 after structural relaxation. The functional is PBEsol.

a = 5.8287 Å, b = 7.7714 Å, c = 5.3315 Å
α = 90.00°, β = 90.00°, γ = 90.00°
Space group Pnma (No. 62)
One atom of each set of equivalent atoms:
Pr 0.0767 0.2500 0.0257
Rh 0.0000 0.0000 0.5000
O 0.0304 0.7500 0.3946
O 0.1972 0.5507 0.8150

## Properties
The spin magnetization comes out at 0.0 μB per cell.


This record from the Alexandria database describes PrRuO3 after structural relaxation. The functional is PBEsol.

a = 5.9503 Å, b = 7.7148 Å, c = 5.2453 Å
α = 90.00°, β = 90.00°, γ = 90.00°
Space group Pnma (No. 62)
One atom of each set of equivalent atoms:
Pr 0.0774 0.2500 0.0300
Ru 0.0000 0.0000 0.5000
O 0.0330 0.7500 0.4008
O 0.1975 0.5477 0.8190

## Properties
The density of states at the Fermi level comes out at 13.4 states/eV/cell. The spin magnetization comes out at 3.3 μB per cell.


This record from the Alexandria database describes Pr3RuO7 after structural relaxation. The functional is PBEsol.

a = 10.9994 Å, b = 7.3457 Å, c = 7.5222 Å
α = 90.00°, β = 90.00°, γ = 90.00°
Space group Cmcm (No. 63)
One atom of each set of equivalent atoms:
Pr 0.0000 0.0000 0.0000
Pr 0.2192 0.3157 0.2500
Ru 0.0000 0.5000 0.0000
O 0.0000 0.4175 0.2500
O 0.1248 0.3161 0.5428
O 0.1305 0.0312 0.2500

## Properties
The density of states at the Fermi level comes out at 1.0 states/eV/cell. The spin magnetization comes out at 12.1 μB per cell.


This record from the Alexandria database describes Pr2Ru2O7 after structural relaxation. The functional is PBEsol.

a = 10.3364 Å, b = 10.3364 Å, c = 10.3364 Å
α = 90.00°, β = 90.00°, γ = 90.00°
Space group Fd-3m (No. 227, origin choice 2)
One atom of each set of equivalent atoms:
Pr 0.0000 0.0000 0.0000
Ru 0.0000 0.0000 0.5000
O 0.0771 0.3750 0.8750
O 0.1250 0.1250 0.1250

## Properties
The density of states at the Fermi level comes out at 58.7 states/eV/cell. The spin magnetization comes out at 6.7 μB per cell.


This record from the Alexandria database describes Pr2S2O after structural relaxation. The functional is PBEsol.

a = 8.5175 Å, b = 7.1817 Å, c = 7.0459 Å
α = 90.00°, β = 98.40°, γ = 90.00°
Space group P2_1/c (No. 14)
One atom of each set of equivalent atoms:
Pr 0.0829 0.1314 0.3111
Pr 0.3629 0.5566 0.2487
S 0.1745 0.6488 0.5578
S 0.4211 0.2251 0.4727
O 0.1175 0.0890 0.6494

## Properties
The density of states at the Fermi level comes out at 0.0 states/eV/cell. The spin magnetization comes out at 0.0 μB per cell.


This record from the Alexandria database describes Pr6Ti2S7O6 after structural relaxation. The functional is PBEsol.

a = 11.9541 Å, b = 3.8904 Å, c = 16.4356 Å
α = 90.00°, β = 97.63°, γ = 90.00°
Space group P2_1/m (No. 11)
One atom of each set of equivalent atoms:
Pr 0.0237 0.2500 0.1244
Pr 0.0637 0.2500 0.3916
Pr 0.2807 0.7500 0.6240
Pr 0.3213 0.7500 0.9735
Pr 0.4058 0.2500 0.3811
Pr 0.4744 0.2500 0.7910
Ti 0.2033 0.2500 0.8143
Ti 0.2204 0.7500 0.2655
S 0.0015 0.7500 0.2555
S 0.0991 0.2500 0.5677
S 0.1166 0.2500 0.9643
S 0.2030 0.7500 0.1257
S 0.2340 0.7500 0.4305
S 0.4214 0.2500 0.5589
S 0.4469 0.2500 0.0802
O 0.1805 0.7500 0.8313
O 0.2037 0.2500 0.2839
O 0.2732 0.2500 0.7234
O 0.3343 0.2500 0.8869
O 0.3716 0.7500 0.2896
O 0.4522 0.7500 0.7137

## Properties
The spin magnetization comes out at 0.0 μB per cell.


This record from the Alexandria database describes Pr2Ti2S2O5 after structural relaxation. The functional is PBEsol.

a = 3.8514 Å, b = 3.8514 Å, c = 23.0530 Å
α = 90.00°, β = 90.00°, γ = 90.00°
Space group I4/mmm (No. 139)
One atom of each set of equivalent atoms:
Pr 0.0000 0.0000 0.1659
Ti 0.0000 0.0000 0.4220
S 0.0000 0.0000 0.2962
O 0.0000 0.0000 0.5000
O 0.0000 0.5000 0.0964

## Properties
The spin magnetization comes out at 0.0 μB per cell.


no.,volume (Å³ per atom),E_form (uncorrected) (meV per atom)
1,12.87,-2544.5
2,12.47,-2198.0
3,13.38,-2586.3
4,13.37,-2791.2
5,19.55,-1910.9
6,12.08,-2119.5
7,12.04,-2122.1
8,13.81,-2643.9
9,12.55,-2092.5
10,21.32,-2582.3
11,18.04,-2638.1
12,15.54,-2901.0